Entry 1:
Density functional theory data (PBE-GGA) for crystalline Co4AuBr at its relaxed geometry.

Calculated values
- SG = No. 216
- total magnetic moment (μB/atom) = 1.28
- DOS at the Fermi energy (states/eV per cell) = 9.17
- formation energy without anion corrections (eV per atom) = 0.64

```
Co4AuBr
1.0
0.0000 3.5090 3.5090
3.5090 0.0000 3.5090
3.5090 3.5090 0.0000
Co Au Br
4 1 1
direct
0.1245 0.1245 0.1245
0.1245 0.1245 0.6264
0.1245 0.6264 0.1245
0.6264 0.1245 0.1245
0.7500 0.7500 0.7500
0.5000 0.5000 0.5000
```



Entry 2:
Density functional theory data (PBE-GGA) for crystalline AlCu2Te at its relaxed geometry.

Calculated values
- SG = No. 8
- total magnetic moment (μB/atom) = 0.00
- DOS at the Fermi energy (states/eV per cell) = 1.33
- formation energy without anion corrections (eV per atom) = 0.05

```
AlCu2Te
1.0
3.7784 -1.9701 0.0000
3.7784 1.9701 0.0000
-3.7438 0.0000 5.0499
Al Cu Te
1 2 1
direct
0.0000 0.0000 0.0000
0.5185 0.5185 0.2907
0.7535 0.7535 0.1334
0.3912 0.3912 0.6008
```



Entry 3:
Density functional theory data (PBE-GGA) for crystalline NdAg2Hg at its relaxed geometry.

Calculated values
- SG = No. 63
- total magnetic moment (μB/atom) = 0.00
- DOS at the Fermi energy (states/eV per cell) = 5.08
- DFT formation energy (eV/f.u.) = -0.92

```
NdAg2Hg
1.0
1.7351 -11.0559 0.0000
1.7351 11.0559 0.0000
0.0000 0.0000 4.8541
Nd Ag Hg
2 4 2
direct
0.0946 0.9054 0.7500
0.9054 0.0946 0.2500
0.2689 0.7311 0.2500
0.4691 0.5309 0.7500
0.5309 0.4691 0.2500
0.7311 0.2689 0.7500
0.3390 0.6610 0.7500
0.6610 0.3390 0.2500
```